Density functional theory data (GGA-PBE) for an optimized crystal structure of BeMoSe.

Values from the calculation:
Space group: P3m1, No. 156
Excess energy over the best structure of this formula in the dataset, meV/atom: 509
Theoretical density, g/cm³: 6.82
ΔE_f (raw), eV/atom: 0.492
Spin magnetization, μB per cell: 0.00
Density of states at the Fermi level, states/eV/cell: 0.6

Cell and atoms, written as CIF:
```
data_BeMoSe
_chemical_formula_sum 'Be1 Mo1 Se1'
_symmetry_space_group_name_H-M 'P 1'
_symmetry_Int_Tables_number 1
_cell_length_a 4.4975
_cell_length_b 4.4975
_cell_length_c 2.5559
_cell_angle_alpha 90.00
_cell_angle_beta 90.00
_cell_angle_gamma 120.00
loop_
_symmetry_equiv_pos_as_xyz
'x,y,z'
loop_
_atom_site_label
_atom_site_type_symbol
_atom_site_fract_x
_atom_site_fract_y
_atom_site_fract_z
_atom_site_occupancy
Be1 Be 0.0000 0.0000 0.0000 1
Mo1 Mo 0.6667 0.3333 0.6371 1
Se1 Se 0.3333 0.6667 0.7693 1
```



Density functional theory data (GGA-PBE) for an optimized crystal structure of HgTeRhI2.

Values from the calculation:
Space group: P4/mmm, No. 123
Excess energy over the best structure of this formula in the dataset, meV/atom: 0
Theoretical density, g/cm³: 7.02
ΔE_f (raw), eV/atom: 0.162
Spin magnetization, μB per cell: 0.00
Density of states at the Fermi level, states/eV/cell: 5.0

Cell and atoms, written as CIF:
```
data_HgTeRhI2
_chemical_formula_sum 'Hg1 Te1 Rh1 I2'
_symmetry_space_group_name_H-M 'P 1'
_symmetry_Int_Tables_number 1
_cell_length_a 5.6685
_cell_length_b 5.6685
_cell_length_c 5.0453
_cell_angle_alpha 90.00
_cell_angle_beta 90.00
_cell_angle_gamma 90.00
loop_
_symmetry_equiv_pos_as_xyz
'x,y,z'
loop_
_atom_site_label
_atom_site_type_symbol
_atom_site_fract_x
_atom_site_fract_y
_atom_site_fract_z
_atom_site_occupancy
Hg1 Hg 0.0000 0.0000 0.0000 1
Te1 Te 0.5000 0.5000 0.0000 1
Rh1 Rh 0.5000 0.5000 0.5000 1
I1 I 0.0000 0.5000 0.5000 1
I2 I 0.5000 0.0000 0.5000 1
```



Density functional theory data (GGA-PBE) for an optimized crystal structure of La4BiTe2Se.

Values from the calculation:
Space group: P2/m, No. 10
Theoretical density, g/cm³: 6.84
ΔE_f (raw), eV/atom: -1.553
Spin magnetization, μB per cell: 0.00
Density of states at the Fermi level, states/eV/cell: 4.9

Cell and atoms, written as CIF:
```
data_La4BiTe2Se
_chemical_formula_sum 'La4 Bi1 Te2 Se1'
_symmetry_space_group_name_H-M 'P 1'
_symmetry_Int_Tables_number 1
_cell_length_a 7.8922
_cell_length_b 4.5357
_cell_length_c 7.8964
_cell_angle_alpha 90.00
_cell_angle_beta 109.25
_cell_angle_gamma 90.00
loop_
_symmetry_equiv_pos_as_xyz
'x,y,z'
loop_
_atom_site_label
_atom_site_type_symbol
_atom_site_fract_x
_atom_site_fract_y
_atom_site_fract_z
_atom_site_occupancy
La1 La 0.2316 0.0000 0.2335 1
La2 La 0.2389 0.5000 0.7571 1
La3 La 0.7611 0.5000 0.2429 1
La4 La 0.7684 0.0000 0.7665 1
Bi1 Bi 0.5000 0.0000 0.0000 1
Te1 Te 0.0000 0.0000 0.5000 1
Te2 Te 0.5000 0.5000 0.5000 1
Se1 Se 0.0000 0.5000 0.0000 1
```



Density functional theory data (GGA-PBE) for an optimized crystal structure of ThBO4.

Values from the calculation:
Space group: I4_1/amd, No. 141
Excess energy over the best structure of this formula in the dataset, meV/atom: 33
Theoretical density, g/cm³: 6.93
ΔE_f (raw), eV/atom: -2.728
Spin magnetization, μB per cell: 1.71
Density of states at the Fermi level, states/eV/cell: 8.3

Cell and atoms, written as CIF:
```
data_ThBO4
_chemical_formula_sum 'Th2 B2 O8'
_symmetry_space_group_name_H-M 'P 1'
_symmetry_Int_Tables_number 1
_cell_length_a 5.7860
_cell_length_b 5.7860
_cell_length_c 5.7860
_cell_angle_alpha 105.75
_cell_angle_beta 105.75
_cell_angle_gamma 117.19
loop_
_symmetry_equiv_pos_as_xyz
'x,y,z'
loop_
_atom_site_label
_atom_site_type_symbol
_atom_site_fract_x
_atom_site_fract_y
_atom_site_fract_z
_atom_site_occupancy
Th1 Th 0.3750 0.6250 0.7500 1
Th2 Th 0.6250 0.3750 0.2500 1
B1 B 0.1250 0.8750 0.2500 1
B2 B 0.8750 0.1250 0.7500 1
O1 O 0.1450 0.7254 0.4197 1
O2 O 0.1943 0.2746 0.9197 1
O3 O 0.2746 0.1943 0.4197 1
O4 O 0.2746 0.8550 0.0803 1
O5 O 0.7254 0.1450 0.9197 1
O6 O 0.7254 0.8057 0.5803 1
O7 O 0.8057 0.7254 0.0803 1
O8 O 0.8550 0.2746 0.5803 1
```



Density functional theory data (GGA-PBE) for an optimized crystal structure of Mg3AsN.

Values from the calculation:
Space group: Pm, No. 6
Theoretical density, g/cm³: 2.87
ΔE_f (raw), eV/atom: -0.630
Spin magnetization, μB per cell: 0.00
Density of states at the Fermi level, states/eV/cell: 0.0

Cell and atoms, written as CIF:
```
data_Mg3AsN
_chemical_formula_sum 'Mg6 As2 N2'
_symmetry_space_group_name_H-M 'P 1'
_symmetry_Int_Tables_number 1
_cell_length_a 6.1760
_cell_length_b 4.1754
_cell_length_c 7.8536
_cell_angle_alpha 90.00
_cell_angle_beta 112.43
_cell_angle_gamma 90.00
loop_
_symmetry_equiv_pos_as_xyz
'x,y,z'
loop_
_atom_site_label
_atom_site_type_symbol
_atom_site_fract_x
_atom_site_fract_y
_atom_site_fract_z
_atom_site_occupancy
Mg1 Mg 0.0000 0.0000 0.0000 1
Mg2 Mg 0.0306 0.0000 0.5750 1
Mg3 Mg 0.3950 0.5000 0.0333 1
Mg4 Mg 0.5136 0.0000 0.5025 1
Mg5 Mg 0.8153 0.5000 0.7659 1
Mg6 Mg 0.9693 0.5000 0.2568 1
As1 As 0.3050 0.5000 0.6057 1
As2 As 0.6670 0.0000 0.2103 1
N1 N 0.0683 0.5000 0.0392 1
N2 N 0.8254 0.0000 0.7184 1
```



Density functional theory data (GGA-PBE) for an optimized crystal structure of ZrTl2I7.

Values from the calculation:
Space group: C2/c, No. 15
Theoretical density, g/cm³: 5.03
ΔE_f (raw), eV/atom: -0.637
Spin magnetization, μB per cell: 0.00
Density of states at the Fermi level, states/eV/cell: 7.2

Cell and atoms, written as CIF:
```
data_ZrTl2I7
_chemical_formula_sum 'Zr2 Tl4 I14'
_symmetry_space_group_name_H-M 'P 1'
_symmetry_Int_Tables_number 1
_cell_length_a 9.9422
_cell_length_b 9.9422
_cell_length_c 14.3921
_cell_angle_alpha 121.42
_cell_angle_beta 121.42
_cell_angle_gamma 52.30
loop_
_symmetry_equiv_pos_as_xyz
'x,y,z'
loop_
_atom_site_label
_atom_site_type_symbol
_atom_site_fract_x
_atom_site_fract_y
_atom_site_fract_z
_atom_site_occupancy
Zr1 Zr 0.1704 0.8296 0.7500 1
Zr2 Zr 0.8296 0.1704 0.2500 1
Tl1 Tl 0.0993 0.6469 0.9340 1
Tl2 Tl 0.3531 0.9007 0.5660 1
Tl3 Tl 0.6469 0.0993 0.4340 1
Tl4 Tl 0.9007 0.3531 0.0660 1
I1 I 0.0853 0.7491 0.5081 1
I2 I 0.1290 0.2324 0.3079 1
I3 I 0.1710 0.8290 0.2500 1
I4 I 0.2324 0.1290 0.8079 1
I5 I 0.2509 0.9147 0.9919 1
I6 I 0.3298 0.4526 0.7345 1
I7 I 0.4526 0.3298 0.2345 1
I8 I 0.5474 0.6702 0.7655 1
I9 I 0.6702 0.5474 0.2655 1
I10 I 0.7491 0.0853 0.0081 1
I11 I 0.7676 0.8710 0.1921 1
I12 I 0.8290 0.1710 0.7500 1
I13 I 0.8710 0.7676 0.6921 1
I14 I 0.9147 0.2509 0.4919 1
```



Density functional theory data (GGA-PBE) for an optimized crystal structure of Dy6TmSc4.

Values from the calculation:
Space group: P-6m2, No. 187
Excess energy over the best structure of this formula in the dataset, meV/atom: 0
Theoretical density, g/cm³: 6.70
Spin magnetization, μB per cell: 0.00
Density of states at the Fermi level, states/eV/cell: 18.6
Formation enthalpy at 0 K, meV per atom: 158.4

Cell and atoms, written as CIF:
```
data_Dy6TmSc4
_chemical_formula_sum 'Dy6 Tm1 Sc4'
_symmetry_space_group_name_H-M 'P 1'
_symmetry_Int_Tables_number 1
_cell_length_a 10.5249
_cell_length_b 10.5249
_cell_length_c 3.4181
_cell_angle_alpha 90.00
_cell_angle_beta 90.00
_cell_angle_gamma 120.00
loop_
_symmetry_equiv_pos_as_xyz
'x,y,z'
loop_
_atom_site_label
_atom_site_type_symbol
_atom_site_fract_x
_atom_site_fract_y
_atom_site_fract_z
_atom_site_occupancy
Dy1 Dy 0.0325 0.5163 0.0000 1
Dy2 Dy 0.1421 0.2842 0.5000 1
Dy3 Dy 0.1421 0.8579 0.5000 1
Dy4 Dy 0.4837 0.5163 0.0000 1
Dy5 Dy 0.4837 0.9675 0.0000 1
Dy6 Dy 0.7158 0.8579 0.5000 1
Tm1 Tm 0.6667 0.3333 0.5000 1
Sc1 Sc 0.3333 0.6667 0.5000 1
Sc2 Sc 0.3517 0.1758 0.0000 1
Sc3 Sc 0.8242 0.1758 0.0000 1
Sc4 Sc 0.8242 0.6483 0.0000 1
```



Density functional theory data (GGA-PBE) for an optimized crystal structure of TbP2RuRh5.

Values from the calculation:
Space group: P4/mmm, No. 123
Theoretical density, g/cm³: 8.57
Spin magnetization, μB per cell: 1.57
Density of states at the Fermi level, states/eV/cell: 8.0
Formation enthalpy at 0 K, meV per atom: -188.3

Cell and atoms, written as CIF:
```
data_TbP2RuRh5
_chemical_formula_sum 'Tb1 P2 Ru1 Rh5'
_symmetry_space_group_name_H-M 'P 1'
_symmetry_Int_Tables_number 1
_cell_length_a 3.9540
_cell_length_b 3.9540
_cell_length_c 10.3654
_cell_angle_alpha 90.00
_cell_angle_beta 90.00
_cell_angle_gamma 90.00
loop_
_symmetry_equiv_pos_as_xyz
'x,y,z'
loop_
_atom_site_label
_atom_site_type_symbol
_atom_site_fract_x
_atom_site_fract_y
_atom_site_fract_z
_atom_site_occupancy
Tb1 Tb 0.0000 0.0000 0.0000 1
P1 P 0.5000 0.5000 0.2173 1
P2 P 0.5000 0.5000 0.7827 1
Ru1 Ru 0.5000 0.5000 0.5000 1
Rh1 Rh 0.0000 0.5000 0.3352 1
Rh2 Rh 0.0000 0.5000 0.6648 1
Rh3 Rh 0.5000 0.0000 0.3352 1
Rh4 Rh 0.5000 0.0000 0.6648 1
Rh5 Rh 0.5000 0.5000 0.0000 1
```